{"formula": "ReTe2Ru", "functional": "PBE", "state": "optimized geometry", "total_magnetization_mub_per_atom": 0.000, "mass_density_g_cm3": 9.5, "dos_at_fermi_per_ev_fu": 4.58, "de_polymorph_kj_per_mol_atoms": 0.0, "cell": [[-3.666, 0.076, 2.245], [0.228, -3.076, 0.477], [3.637, 1.195, 5.897]], "species": ["Re", "Te", "Ru", "Te"], "frac_coords": [[0.000, 0.375, 0.582], [0.000, 0.877, 0.900], [0.500, 0.875, 0.675], [0.500, 0.373, 0.344]]}


{"formula": "ReTeRu4", "functional": "PBE", "state": "optimized geometry", "total_magnetization_mub_per_atom": 0.000, "mass_density_g_cm3": 12.4, "dos_at_fermi_per_ev_fu": 9.89, "energy_ev_per_atom": -7.95, "cell": [[0.000, 3.640, 3.640], [3.640, 0.000, 3.640], [3.640, 3.640, 0.000]], "species": ["Ru", "Re", "Te", "Ru", "Ru", "Ru"], "frac_coords": [[0.374, 0.877, 0.374], [0.000, 0.000, 0.000], [0.750, 0.750, 0.750], [0.877, 0.374, 0.374], [0.374, 0.374, 0.374], [0.374, 0.374, 0.877]]}


{"formula": "ReTe2Ru", "functional": "PBE", "state": "optimized geometry", "total_magnetization_mub_per_atom": 0.000, "mass_density_g_cm3": 11.3, "dos_at_fermi_per_ev_fu": 3.68, "de_polymorph_kj_per_mol_atoms": 40.8, "cell": [[-4.395, 4.127, 0.560], [-4.778, -0.517, 3.684], [6.014, 0.143, -0.694]], "species": ["Ru", "Te", "Te", "Re"], "frac_coords": [[0.781, 0.281, 0.500], [0.264, 0.764, 0.500], [0.988, 0.988, 0.000], [0.466, 0.466, 0.000]]}


{"formula": "Re2TeRu", "functional": "PBE", "state": "optimized geometry", "total_magnetization_mub_per_atom": 0.000, "mass_density_g_cm3": 15.6, "dos_at_fermi_per_ev_fu": 5.11, "energy_ev_per_atom": -8.59, "cell": [[4.937, 0.000, 0.000], [1.755, 4.614, 0.000], [-3.346, -2.307, 2.802]], "species": ["Re", "Te", "Ru", "Re"], "frac_coords": [[0.000, 0.000, 0.000], [0.750, 0.250, 0.500], [0.250, 0.750, 0.500], [0.500, 0.500, 0.000]]}


{"formula": "ReTe2Ru", "functional": "PBE", "state": "optimized geometry", "total_magnetization_mub_per_atom": 0.000, "mass_density_g_cm3": 10.9, "dos_at_fermi_per_ev_fu": 5.28, "de_polymorph_kj_per_mol_atoms": 51.2, "cell": [[1.900, 0.000, 8.836], [-0.950, 1.645, 8.836], [-0.950, -1.645, 8.836]], "species": ["Re", "Ru", "Te", "Te"], "frac_coords": [[0.000, 0.000, 0.000], [0.500, 0.500, 0.500], [0.905, 0.905, 0.905], [0.095, 0.095, 0.095]]}


{"formula": "Re2TeRu", "functional": "PBE", "state": "optimized geometry", "total_magnetization_mub_per_atom": 0.000, "mass_density_g_cm3": 15.5, "dos_at_fermi_per_ev_fu": 2.46, "energy_ev_per_atom": -8.70, "cell": [[-3.879, 3.249, -1.700], [-1.038, 0.114, -5.235], [0.220, -2.969, 4.430]], "species": ["Re", "Ru", "Te", "Re"], "frac_coords": [[0.758, 0.258, 0.500], [0.478, 0.478, 0.000], [0.251, 0.751, 0.500], [0.013, 0.013, 0.000]]}


{"formula": "ZnReTe2Ru", "functional": "PBE", "state": "optimized geometry", "total_magnetization_mub_per_atom": 0.140, "mass_density_g_cm3": 7.7, "dos_at_fermi_per_ev_fu": 6.54, "energy_ev_per_atom": -4.69, "cell": [[5.203, 0.000, 0.000], [0.000, 4.817, 0.000], [0.000, 0.000, 5.203]], "species": ["Zn", "Te", "Re", "Te", "Ru"], "frac_coords": [[0.500, 0.500, 0.500], [0.500, 0.000, 0.000], [0.000, 0.000, 0.000], [0.000, 0.000, 0.500], [0.000, 0.500, 0.000]]}


{"formula": "Th8ReRu2", "functional": "PBE", "state": "optimized geometry", "total_magnetization_mub_per_atom": 0.000, "ef_kj_per_mol_atoms": -7.6, "mass_density_g_cm3": 11.9, "dos_at_fermi_per_ev_fu": 14.59, "cell": [[6.207, -0.037, -1.108], [-2.144, 6.775, -3.269], [-0.211, -0.527, 7.802]], "species": ["Th", "Re", "Ru", "Ru", "Th", "Th", "Th", "Th", "Th", "Th", "Th"], "frac_coords": [[0.363, 0.902, 0.651], [0.196, 0.007, 0.007], [0.478, 0.320, 0.709], [0.478, 0.709, 0.320], [0.981, 0.192, 0.784], [0.981, 0.784, 0.192], [0.363, 0.651, 0.902], [0.593, 0.366, 0.104], [0.163, 0.352, 0.352], [0.810, 0.647, 0.647], [0.593, 0.104, 0.366]]}


{"formula": "Th2ReRu", "functional": "PBE", "state": "optimized geometry", "total_magnetization_mub_per_atom": 0.000, "ef_kj_per_mol_atoms": 69.1, "mass_density_g_cm3": 13.3, "dos_at_fermi_per_ev_fu": 3.76, "cell": [[-1.685, -1.721, 2.329], [0.497, -3.297, 0.333], [6.645, 0.031, 7.238]], "species": ["Th", "Re", "Th", "Ru"], "frac_coords": [[0.090, 0.090, 0.729], [0.000, 0.000, 0.000], [0.910, 0.910, 0.271], [0.500, 0.500, 0.500]]}


{"formula": "Ti3ReRu2", "functional": "PBE", "state": "optimized geometry", "total_magnetization_mub_per_atom": 0.000, "ef_kj_per_mol_atoms": -63.3, "mass_density_g_cm3": 9.9, "dos_at_fermi_per_ev_fu": 2.55, "cell": [[-0.574, -0.628, -2.973], [-2.262, -1.932, 0.845], [-6.097, 7.006, -0.301]], "species": ["Re", "Ti", "Ru", "Ti", "Ru", "Ti"], "frac_coords": [[0.500, 0.500, 0.500], [0.000, 0.000, 0.333], [0.500, 0.500, 0.836], [0.000, 0.000, 0.667], [0.500, 0.500, 0.164], [0.000, 0.000, 0.000]]}


{"formula": "Ti2ReRu", "functional": "PBE", "state": "optimized geometry", "total_magnetization_mub_per_atom": 0.000, "ef_kj_per_mol_atoms": -56.9, "mass_density_g_cm3": 10.7, "dos_at_fermi_per_ev_fu": 3.45, "de_polymorph_kj_per_mol_atoms": 0.0, "cell": [[-2.625, 1.176, -1.143], [-0.261, -2.429, -1.901], [-3.257, -3.048, 4.341]], "species": ["Re", "Ti", "Ti", "Ru"], "frac_coords": [[0.500, 0.500, 0.500], [0.000, 0.000, 0.751], [0.000, 0.000, 0.249], [0.500, 0.500, 0.000]]}


{"formula": "TiRe3Ru", "functional": "PBE", "state": "optimized geometry", "total_magnetization_mub_per_atom": 0.000, "ef_kj_per_mol_atoms": 190.6, "mass_density_g_cm3": 13.3, "dos_at_fermi_per_ev_fu": 7.36, "de_polymorph_kj_per_mol_atoms": 10.9, "cell": [[4.455, 0.000, 0.000], [0.000, 4.455, 0.000], [0.000, 0.000, 4.455]], "species": ["Re", "Re", "Re", "Ru", "Ti"], "frac_coords": [[0.500, 0.000, 0.000], [0.000, 0.500, 0.000], [0.000, 0.000, 0.500], [0.500, 0.500, 0.500], [0.000, 0.000, 0.000]]}


{"formula": "Ti4ReRu", "functional": "PBE", "state": "optimized geometry", "total_magnetization_mub_per_atom": 0.000, "ef_kj_per_mol_atoms": 1.7, "mass_density_g_cm3": 7.2, "dos_at_fermi_per_ev_fu": 8.37, "cell": [[4.277, 0.000, 0.000], [2.139, 3.705, 0.218], [2.139, 0.840, 6.990]], "species": ["Ti", "Ti", "Ti", "Ru", "Ti", "Re"], "frac_coords": [[0.875, 0.875, 0.375], [0.625, 0.625, 0.125], [0.375, 0.375, 0.875], [0.000, 0.000, 0.000], [0.125, 0.125, 0.625], [0.500, 0.500, 0.500]]}


{"formula": "Ti2ReRu", "functional": "PBE", "state": "optimized geometry", "total_magnetization_mub_per_atom": 0.000, "ef_kj_per_mol_atoms": 20.3, "mass_density_g_cm3": 9.9, "dos_at_fermi_per_ev_fu": 3.45, "de_polymorph_kj_per_mol_atoms": 77.1, "cell": [[-5.658, -2.850, 2.717], [3.913, -3.543, 4.434], [-1.044, -1.166, 5.349]], "species": ["Ti", "Ru", "Re", "Ti", "Re", "Ti", "Ru", "Ti"], "frac_coords": [[0.135, 0.625, 0.250], [0.500, 0.500, 0.000], [0.750, 0.250, 0.500], [0.615, 0.125, 0.250], [0.000, 0.000, 0.000], [0.875, 0.865, 0.750], [0.250, 0.750, 0.500], [0.375, 0.385, 0.750]]}


{"formula": "Ti2ReRu", "functional": "PBE", "state": "optimized geometry", "total_magnetization_mub_per_atom": 0.000, "ef_kj_per_mol_atoms": -54.5, "mass_density_g_cm3": 10.7, "dos_at_fermi_per_ev_fu": 3.96, "de_polymorph_kj_per_mol_atoms": 2.4, "cell": [[0.000, 3.100, 3.100], [3.100, 0.000, 3.100], [3.100, 3.100, 0.000]], "species": ["Ti", "Re", "Ti", "Ru"], "frac_coords": [[0.250, 0.250, 0.250], [0.500, 0.500, 0.500], [0.750, 0.750, 0.750], [0.000, 0.000, 0.000]]}


{"formula": "TiRe2Ru", "functional": "PBE", "state": "optimized geometry", "total_magnetization_mub_per_atom": 0.000, "ef_kj_per_mol_atoms": 53.5, "mass_density_g_cm3": 13.2, "dos_at_fermi_per_ev_fu": 3.99, "de_polymorph_kj_per_mol_atoms": 48.2, "cell": [[7.190, 0.000, 0.000], [0.000, 7.190, 0.000], [3.595, 3.595, 2.541]], "species": ["Re", "Ti", "Ru", "Ru", "Re", "Re", "Ti", "Re"], "frac_coords": [[0.875, 0.896, 0.750], [0.500, 0.500, 0.000], [0.750, 0.250, 0.500], [0.000, 0.000, 0.000], [0.375, 0.354, 0.750], [0.104, 0.625, 0.250], [0.250, 0.750, 0.500], [0.646, 0.125, 0.250]]}


{"formula": "Ti5Re4Ru", "functional": "PBE", "state": "optimized geometry", "total_magnetization_mub_per_atom": 0.000, "ef_kj_per_mol_atoms": -45.3, "mass_density_g_cm3": 12.0, "dos_at_fermi_per_ev_fu": 8.11, "cell": [[3.109, 0.000, 0.000], [0.000, 3.109, 0.000], [0.000, 0.000, 15.563]], "species": ["Ti", "Re", "Ti", "Ti", "Ru", "Re", "Ti", "Re", "Ti", "Re"], "frac_coords": [[0.500, 0.500, 0.500], [0.000, 0.000, 0.600], [0.500, 0.500, 0.299], [0.500, 0.500, 0.701], [0.000, 0.000, 0.000], [0.000, 0.000, 0.801], [0.500, 0.500, 0.901], [0.000, 0.000, 0.199], [0.500, 0.500, 0.099], [0.000, 0.000, 0.400]]}


{"formula": "Ti6Re5Ru", "functional": "PBE", "state": "optimized geometry", "total_magnetization_mub_per_atom": 0.000, "ef_kj_per_mol_atoms": -44.0, "mass_density_g_cm3": 12.1, "dos_at_fermi_per_ev_fu": 7.87, "cell": [[-0.949, 1.208, -4.117], [-5.562, 2.077, 1.891], [3.083, 5.340, 3.203]], "species": ["Ti", "Ti", "Ti", "Ti", "Re", "Ti", "Ru", "Re", "Re", "Re", "Re", "Ti"], "frac_coords": [[0.500, 0.751, 0.000], [0.500, 0.249, 0.000], [0.834, 0.249, 0.667], [0.166, 0.751, 0.333], [0.334, 0.500, 0.668], [0.834, 0.751, 0.667], [0.000, 0.000, 0.000], [0.000, 0.500, 0.000], [0.666, 0.500, 0.332], [0.332, 0.000, 0.664], [0.668, 0.000, 0.336], [0.166, 0.249, 0.333]]}


{"formula": "TiRe3Ru", "functional": "PBE", "state": "optimized geometry", "total_magnetization_mub_per_atom": 0.000, "ef_kj_per_mol_atoms": 179.7, "mass_density_g_cm3": 11.9, "dos_at_fermi_per_ev_fu": 6.11, "de_polymorph_kj_per_mol_atoms": 0.0, "cell": [[-0.362, 2.219, -4.041], [-3.002, -3.190, -1.483], [-3.500, 2.507, 1.690]], "species": ["Ru", "Re", "Re", "Ti", "Re"], "frac_coords": [[0.000, 0.000, 0.000], [0.500, 0.000, 0.000], [0.000, 0.500, 0.000], [0.500, 0.500, 0.500], [0.000, 0.000, 0.500]]}


{"formula": "TiReRu", "functional": "PBE", "state": "optimized geometry", "total_magnetization_mub_per_atom": 0.000, "ef_kj_per_mol_atoms": -21.3, "mass_density_g_cm3": 12.5, "dos_at_fermi_per_ev_fu": 2.95, "cell": [[-2.374, 3.147, -3.634], [-3.645, 0.051, 2.424], [-0.560, 3.094, 3.045]], "species": ["Ti", "Re", "Re", "Ru", "Ru", "Ti"], "frac_coords": [[0.888, 0.079, 0.212], [0.398, 0.079, 0.212], [0.050, 0.413, 0.545], [0.529, 0.413, 0.545], [0.736, 0.746, 0.879], [0.217, 0.746, 0.879]]}